CeFe2BiO6: relaxed, GGA+U.

Its volume is 139 Å³/f.u. For the total energy, the calculation gives -137.5 eV for the cell shown.

It has space group P2_1/c (No. 14), with a = 5.6948 Å, b = 5.6540 Å, c = 10.2701 Å, α = 90.00°, β = 123.02° and γ = 90.00°. The distinct sites, in fractional coordinates, are Ce at (0.0000, 0.0000, 0.0000), Fe at (0.2765, 0.0078, 0.7500), Bi at (0.5000, 0.0000, 0.5000), O at (0.0559, 0.1610, 0.4155), O at (0.2558, 0.6448, 0.4150) and O at (0.3976, 0.1529, 0.2477).